Entry 1:
Compound: Pm2GeB
Source: Alexandria
Functional: PBE-GGA
Structure: relaxed

The structure belongs to space group R-3m (No. 166, hexagonal axes); the cell edges are 4.3260, 4.3260 and 17.6480 Å and the angles 90.00°, 90.00° and 120.00°. The asymmetric unit holds Pm at (0.0000, 0.0000, 0.2386), Ge at (0.0000, 0.0000, 0.0000) and B at (0.0000, 0.0000, 0.5000).

Entry 2:
Compound: Pm2GeB
Source: Alexandria
Functional: PBE-GGA
Structure: relaxed

The structure belongs to space group Cmcm (No. 63); the cell edges are 3.4423, 19.3105 and 5.7423 Å and the angles 90.00°, 90.00° and 90.00°. The asymmetric unit holds Pm at (0.0000, 0.0572, 0.2500), Pm at (0.0000, 0.3146, 0.2500), Ge at (0.0000, 0.3125, 0.7500) and B at (0.0000, 0.4498, 0.2500).

Number 1: VASP energy -63.475 eV for the cell shown. Number 2: VASP energy -81.370 eV for the cell shown.